Record 1
! MgHgMo | Alexandria via LeMat-Bulk | PBE | optimized geometry; values from VASP
! distance to the lowest polymorph of the same formula	1.08	kJ/mol of atoms
&SYSTEM
  ibrav = 0, nat = 3, ntyp = 3
/
ATOMIC_SPECIES
Mg 24.30 Mg.upf
Hg 200.59 Hg.upf
Mo 95.94 Mo.upf
CELL_PARAMETERS angstrom
0.000 2.212 6.908
1.818 0.000 6.908
1.818 2.212 0.000
ATOMIC_POSITIONS crystal
Mg 0.000 0.000 0.000
Hg 0.326 0.326 0.674
Mo 0.657 0.657 0.343


Record 2
! NbVBi2 | Alexandria via LeMat-Bulk | PBE | optimized geometry; values from VASP
! distance to the lowest polymorph of the same formula	0.00	kJ/mol of atoms
&SYSTEM
  ibrav = 0, nat = 4, ntyp = 3
/
ATOMIC_SPECIES
Nb 92.91 Nb.upf
V 50.94 V.upf
Bi 208.98 Bi.upf
CELL_PARAMETERS angstrom
0.000 3.518 3.518
3.518 0.000 3.518
3.518 3.518 0.000
ATOMIC_POSITIONS crystal
Nb 0.000 0.000 0.000
V 0.500 0.500 0.500
Bi 0.250 0.250 0.250
Bi 0.750 0.750 0.750


Number 1: ΔH_f (0 K) 0.3456 eV per atom. Number 2: ΔH_f (0 K) 0.4264 eV per atom.